1.
# Ce2ThGe

A relaxed Ce2ThGe crystal (PBE, Alexandria).

Output
The value obtained for the formation enthalpy at 0 K is -98 kJ/mol of formula units. As for the total energy: -0.22898 Ha/atom. The calculation puts the mass density at 9.04 Mg/m³. The energy above the most stable polymorph in this dataset is 0.63 eV/f.u.

Lattice parameters (Å, degrees): 5.3257 8.7352 5.3293 90.00 119.94 90.00
Closest atoms and distances in Å follow each position.
Fractional positions:
Ce 0.1666 0.0952 0.3326  1 Ce 2.70, 1 Ge 3.02
Ce 0.1666 0.4048 0.3326  1 Ce 2.70, 1 Ge 3.02
Ce 0.8334 0.5952 0.6674  1 Ce 2.70, 1 Ge 3.02
Ce 0.8334 0.9048 0.6674  1 Ce 2.70, 1 Ge 3.02
Th 0.4999 0.2500 0.9987  3 Ge 3.08, 6 Ce 3.36
Th 0.5001 0.7500 0.0013  3 Ge 3.08, 6 Ce 3.36
Ge 0.1668 0.7500 0.3348  8 Ce 3.02-3.37, 3 Th 3.08
Ge 0.8332 0.2500 0.6652  8 Ce 3.02-3.37, 3 Th 3.08

2.
# Ce2ThGe

A relaxed Ce2ThGe crystal (PBE, Alexandria).

Output
The value obtained for the formation enthalpy at 0 K is -26 kJ/mol of formula units. As for the total energy: -0.22206 Ha/atom. The calculation puts the mass density at 9.34 Mg/m³. The energy above the most stable polymorph in this dataset is 1.38 eV/f.u.

Lattice parameters (Å, degrees): 5.2792 5.2792 5.2792 60.00 60.00 60.00
Closest atoms and distances in Å follow each position.
Fractional positions:
Ce 0.2500 0.2500 0.2500  4 Ge 3.23, 4 Th 3.23
Ce 0.7500 0.7500 0.7500  4 Ge 3.23, 4 Th 3.23
Th 0.0000 0.0000 0.0000  8 Ce 3.23
Ge 0.5000 0.5000 0.5000  8 Ce 3.23

3.
# CeTh2Ge3

A relaxed CeTh2Ge3 crystal (PBE, Alexandria).

Output
The value obtained for the formation enthalpy at 0 K is -423 kJ/mol of formula units. As for the total energy: -0.23895 Ha/atom. The calculation puts the mass density at 8.21 Mg/m³.

Lattice parameters (Å, degrees): 7.4099 7.4099 7.4099 146.41 131.78 60.05
Closest atoms and distances in Å follow each position.
Fractional positions:
Ce 0.0000 0.0000 0.0000  6 Ge 2.99-3.03
Th 0.3327 0.3327 0.0000  6 Ge 3.03-3.06
Th 0.6673 0.6673 0.0000  6 Ge 3.03-3.06
Ge 0.1624 0.6624 0.5000  2 Ce 2.99, 4 Th 3.03-3.06
Ge 0.5000 0.0000 0.5000  2 Ce 3.03, 4 Th 3.03
Ge 0.8376 0.3376 0.5000  2 Ce 2.99, 4 Th 3.03-3.06

4.
# CeThGe4

A relaxed CeThGe4 crystal (PBE, Alexandria).

Output
The value obtained for the formation enthalpy at 0 K is -206 kJ/mol of formula units. As for the total energy: -0.20800 Ha/atom. The calculation puts the mass density at 8.65 Mg/m³. The energy above the most stable polymorph in this dataset is 1.19 eV/f.u.

Lattice parameters (Å, degrees): 5.6463 5.6463 5.6463 60.00 60.00 60.00
Closest atoms and distances in Å follow each position.
Fractional positions:
Ce 0.0000 0.0000 0.0000  12 Ge 3.31, 4 Th 3.46
Th 0.2500 0.2500 0.2500  12 Ge 3.31, 4 Ce 3.46
Ge 0.1241 0.6253 0.6253  6 Ge 2.82-2.83
Ge 0.6253 0.1241 0.6253  6 Ge 2.82-2.83
Ge 0.6253 0.6253 0.1241  6 Ge 2.82-2.83
Ge 0.6253 0.6253 0.6253  6 Ge 2.82-2.83